Density functional theory data (PBE) for crystalline Pr2SmDy at its relaxed geometry.

Lattice parameters (Å, degrees): 6.3241 6.3241 6.3241 131.78 131.78 70.58
Element x y z (fractional)
Pr 0.0000 0.0000 0.0000
Pr 0.7500 0.2500 0.5000
Sm 0.2500 0.7500 0.5000
Dy 0.5000 0.5000 0.0000

Energy of formation from the pure elements: 0.0174 eV per atom
Space-group type: No. 119
Energy above the most stable polymorph in this dataset: 5 meV per atom